The following is a DFT calculation (GGA-PBEsol) of CaInAs2 after structural relaxation.

```
CaInAs2
1.0
-3.7363 3.7363 3.4804
3.7363 -3.7363 3.4804
3.7363 3.7363 -3.4804
Ca In As
2 2 4
Direct
0.0000 0.0000 0.0000 Ca
0.7500 0.2500 0.5000 Ca
0.2500 0.7500 0.5000 In
0.5000 0.5000 0.0000 In
0.1550 0.6250 0.0300 As
0.3750 0.4050 0.5300 As
0.5950 0.1250 0.9700 As
0.8750 0.8450 0.4700 As
```

Summary:
The value obtained for the formation energy is -0.440 eV/atom.


The following is a DFT calculation (GGA-PBEsol) of HSeI3 after structural relaxation.

```
HSeI3
1.0
5.6528 0.0000 0.0000
0.0000 5.6528 0.0000
0.0000 0.0000 5.6528
H Se I
1 1 3
Direct
0.0000 0.0000 0.0000 H
0.5000 0.5000 0.5000 Se
0.0000 0.5000 0.5000 I
0.5000 0.0000 0.5000 I
0.5000 0.5000 0.0000 I
```

Summary:
As for the total energy: -1.925 eV per atom.


The following is a DFT calculation (GGA-PBEsol) of MoIrRu after structural relaxation.

```
MoIrRu
1.0
4.2793 0.0000 0.0000
-2.1397 3.7060 0.0000
0.0000 0.0000 2.7159
Mo Ir Ru
1 1 1
Direct
0.0000 0.0000 0.0000 Mo
0.6667 0.3333 0.5000 Ir
0.3333 0.6667 0.0000 Ru
```

Summary:
The value obtained for the formation energy is 0.017 eV/atom.


The following is a DFT calculation (GGA-PBEsol) of Be2AgBr after structural relaxation.

```
Be2AgBr
1.0
-1.6697 1.6697 5.8966
1.6697 -1.6697 5.8966
1.6697 1.6697 -5.8966
Be Ag Br
2 1 1
Direct
0.0000 0.0000 0.0000 Be
0.7500 0.2500 0.5000 Be
0.2500 0.7500 0.5000 Ag
0.5000 0.5000 0.0000 Br
```

Summary:
The value obtained for the energy above the most stable polymorph in this dataset is 0.3458 eV per atom. The uncorrected formation energy is 597 meV per atom.


The following is a DFT calculation (GGA-PBEsol) of As2Se after structural relaxation.

```
As2Se
1.0
0.0000 3.8765 3.8765
3.8765 0.0000 3.8765
3.8765 3.8765 0.0000
As Se
4 2
Direct
0.0000 0.0000 0.0000 As
0.0000 0.0000 0.5000 As
0.0000 0.5000 0.0000 As
0.5000 0.0000 0.0000 As
0.3750 0.3750 0.3750 Se
0.6250 0.6250 0.6250 Se
```

Summary:
The value obtained for the energy above the most stable polymorph in this dataset is 0.5049 eV per atom. The uncorrected formation energy is 544 meV per atom.


The following is a DFT calculation (GGA-PBEsol) of AlFe2Ir after structural relaxation.

```
AlFe2Ir
1.0
2.6685 0.0000 0.0000
0.0000 2.6685 0.0000
0.0000 0.0000 6.5724
Al Fe Ir
1 2 1
Direct
0.0000 0.0000 0.0000 Al
0.5000 0.5000 0.2415 Fe
0.5000 0.5000 0.7585 Fe
0.0000 0.0000 0.5000 Ir
```

Summary:
The value obtained for the formation energy is -0.161 eV/atom.


The following is a DFT calculation (GGA-PBEsol) of SrLi2Hg after structural relaxation.

```
SrLi2Hg
1.0
0.0000 3.7243 3.7243
3.7243 0.0000 3.7243
3.7243 3.7243 0.0000
Sr Li Hg
1 2 1
Direct
0.0000 0.0000 0.0000 Sr
0.5000 0.5000 0.5000 Li
0.7500 0.7500 0.7500 Li
0.2500 0.2500 0.2500 Hg
```

Summary:
The value obtained for the formation energy is -0.214 eV/atom.


The following is a DFT calculation (GGA-PBEsol) of CaLaPt2 after structural relaxation.

```
CaLaPt2
1.0
3.5550 0.0000 0.0000
0.0000 3.5550 0.0000
0.0000 0.0000 6.9441
Ca La Pt
1 1 2
Direct
0.0000 0.0000 0.0000 Ca
0.0000 0.0000 0.5000 La
0.5000 0.5000 0.2539 Pt
0.5000 0.5000 0.7461 Pt
```

Summary:
The value obtained for the formation energy is -0.938 eV/atom.


The following is a DFT calculation (GGA-PBEsol) of LiNdAu2 after structural relaxation.

```
LiNdAu2
1.0
0.0000 3.4669 3.4669
3.4669 0.0000 3.4669
3.4669 3.4669 0.0000
Li Nd Au
1 1 2
Direct
0.0000 0.0000 0.0000 Li
0.5000 0.5000 0.5000 Nd
0.2500 0.2500 0.2500 Au
0.7500 0.7500 0.7500 Au
```

Summary:
The value obtained for the formation energy is -0.621 eV/atom.


The following is a DFT calculation (GGA-PBEsol) of RhSeBr2 after structural relaxation.

```
RhSeBr2
1.0
-1.5658 2.2801 6.5004
1.5658 -2.2801 6.5004
1.5658 2.2801 -6.5004
Rh Se Br
1 1 2
Direct
0.0000 0.0000 0.0000 Rh
0.5000 0.5000 0.0000 Se
0.1530 0.6530 0.5000 Br
0.8470 0.3470 0.5000 Br
```

Summary:
The value obtained for the energy above the most stable polymorph in this dataset is 0.3192 eV per atom. The uncorrected formation energy is 116 meV per atom.


The following is a DFT calculation (GGA-PBEsol) of ZnGa2ReRh after structural relaxation.

```
ZnGa2ReRh
1.0
4.5790 0.0000 0.0000
0.0000 4.5790 0.0000
0.0000 0.0000 4.7822
Zn Ga Re Rh
1 2 1 1
Direct
0.0000 0.0000 0.0000 Zn
0.0000 0.5000 0.5000 Ga
0.5000 0.0000 0.5000 Ga
0.5000 0.5000 0.0000 Re
0.5000 0.5000 0.5000 Rh
```

Summary:
The value obtained for the formation energy is 0.946 eV/atom.


The following is a DFT calculation (GGA-PBEsol) of Li2CrW after structural relaxation.

```
Li2CrW
1.0
2.4595 0.0000 0.0000
0.0000 4.1426 0.0000
-0.7720 0.0000 5.5260
Li Cr W
2 1 1
Direct
0.0000 0.0000 0.0000 Li
0.2006 0.5000 0.7652 Li
0.4243 0.0000 0.4831 Cr
0.7033 0.5000 0.2893 W
```

Summary:
The value obtained for the formation energy is 0.531 eV/atom. The value obtained for the energy above the most stable polymorph in this dataset is 0.0000 eV per atom.


The following is a DFT calculation (GGA-PBEsol) of MgCd2In after structural relaxation.

```
MgCd2In
1.0
-2.2250 2.2250 4.4002
2.2250 -2.2250 4.4002
2.2250 2.2250 -4.4002
Mg Cd In
1 2 1
Direct
0.0000 0.0000 0.0000 Mg
0.2500 0.7500 0.5000 Cd
0.7500 0.2500 0.5000 Cd
0.5000 0.5000 0.0000 In
```

Summary:
The value obtained for the formation energy is -0.065 eV/atom.


The following is a DFT calculation (GGA-PBEsol) of MgSc2In after structural relaxation.

```
MgSc2In
1.0
3.2349 0.0000 0.0000
0.0000 4.2748 0.0000
0.0000 0.0000 6.3621
Mg Sc In
1 2 1
Direct
0.0000 0.0000 0.0000 Mg
0.5000 0.5000 0.2556 Sc
0.5000 0.5000 0.7444 Sc
0.0000 0.0000 0.5000 In
```

Summary:
The value obtained for the formation energy is -0.294 eV/atom. The value obtained for the energy above the most stable polymorph in this dataset is 0.0387 eV per atom.


The following is a DFT calculation (GGA-PBEsol) of Hg2BiCl after structural relaxation.

```
Hg2BiCl
1.0
0.0000 3.6590 3.6590
3.6590 0.0000 3.6590
3.6590 3.6590 0.0000
Hg Bi Cl
2 1 1
Direct
0.2500 0.2500 0.2500 Hg
0.7500 0.7500 0.7500 Hg
0.0000 0.0000 0.0000 Bi
0.5000 0.5000 0.5000 Cl
```

Summary:
The uncorrected formation energy is -18 meV per atom.


The following is a DFT calculation (GGA-PBEsol) of CdCuTc3 after structural relaxation.

```
CdCuTc3
1.0
4.7442 0.0000 0.0000
0.0000 4.7442 0.0000
0.0000 0.0000 4.7442
Cd Cu Tc
1 1 3
Direct
0.0000 0.0000 0.0000 Cd
0.5000 0.5000 0.5000 Cu
0.0000 0.0000 0.5000 Tc
0.0000 0.5000 0.0000 Tc
0.5000 0.0000 0.0000 Tc
```

Summary:
The value obtained for the formation energy is 3.001 eV/atom.


The following is a DFT calculation (GGA-PBEsol) of Sc2Al2Hg after structural relaxation.

```
Sc2Al2Hg
1.0
6.7195 0.0000 0.0000
0.0000 6.7195 0.0000
0.0000 0.0000 4.3278
Sc Al Hg
4 4 2
Direct
0.1656 0.3344 0.0000 Sc
0.3344 0.8344 0.0000 Sc
0.6656 0.1656 0.0000 Sc
0.8344 0.6656 0.0000 Sc
0.1341 0.6341 0.5000 Al
0.3659 0.1341 0.5000 Al
0.6341 0.8659 0.5000 Al
0.8659 0.3659 0.5000 Al
0.0000 0.0000 0.5000 Hg
0.5000 0.5000 0.5000 Hg
```

Summary:
The value obtained for the formation energy is -0.449 eV/atom. The value obtained for the energy above the most stable polymorph in this dataset is 0.0000 eV per atom.


The following is a DFT calculation (GGA-PBEsol) of SiNi2Pt after structural relaxation.

```
SiNi2Pt
1.0
0.0000 2.8743 2.8743
2.8743 0.0000 2.8743
2.8743 2.8743 0.0000
Si Ni Pt
1 2 1
Direct
0.0000 0.0000 0.0000 Si
0.5000 0.5000 0.5000 Ni
0.7500 0.7500 0.7500 Ni
0.2500 0.2500 0.2500 Pt
```

Summary:
The uncorrected formation energy is -404 meV per atom.


The following is a DFT calculation (GGA-PBEsol) of Li7SbO6 after structural relaxation.

```
Li7SbO6
1.0
5.3406 0.0000 0.0000
2.6500 4.7291 0.0000
2.5278 1.5568 5.0012
Li Sb O
7 1 6
Direct
0.0000 0.0000 0.0000 Li
0.0194 0.7540 0.7497 Li
0.1399 0.4895 0.4370 Li
0.3231 0.3547 0.0006 Li
0.4370 0.0943 0.7323 Li
0.6252 0.5936 0.0052 Li
0.8730 0.2063 0.3726 Li
0.5273 0.8404 0.3868 Sb
0.1515 0.0721 0.6141 O
0.3076 0.9547 0.1233 O
0.4137 0.4854 0.6106 O
0.6109 0.2174 0.1764 O
0.7567 0.7642 0.6212 O
0.9076 0.6189 0.1469 O
```

Summary:
The uncorrected formation energy is -1895 meV per atom.


The following is a DFT calculation (GGA-PBEsol) of Tl2OsCl after structural relaxation.

```
Tl2OsCl
1.0
3.2968 0.0000 0.0000
0.0000 3.2797 0.0000
-0.0236 0.0000 7.9096
Tl Os Cl
2 1 1
Direct
0.0016 0.0000 0.2045 Tl
0.9984 0.0000 0.7955 Tl
0.5000 0.5000 0.0000 Os
0.0000 0.5000 0.5000 Cl
```

Summary:
The value obtained for the energy above the most stable polymorph in this dataset is 0.0000 eV per atom. The uncorrected formation energy is 454 meV per atom.


The following is a DFT calculation (GGA-PBEsol) of CdPt after structural relaxation.

```
CdPt
1.0
2.9166 0.0000 0.0000
0.0000 4.7582 0.0000
0.0000 0.0000 4.8319
Cd Pt
2 2
Direct
0.2500 0.2500 0.0997 Cd
0.7500 0.7500 0.9003 Cd
0.2500 0.7500 0.4065 Pt
0.7500 0.2500 0.5935 Pt
```

Summary:
The value obtained for the formation energy is -0.178 eV/atom.


The following is a DFT calculation (GGA-PBEsol) of LaCd4Re after structural relaxation.

```
LaCd4Re
1.0
0.0000 3.9549 3.9549
3.9549 0.0000 3.9549
3.9549 3.9549 0.0000
La Cd Re
1 4 1
Direct
0.0000 0.0000 0.0000 La
0.3761 0.3761 0.3761 Cd
0.3761 0.3761 0.8716 Cd
0.3761 0.8716 0.3761 Cd
0.8716 0.3761 0.3761 Cd
0.7500 0.7500 0.7500 Re
```

Summary:
The value obtained for the formation energy is 0.294 eV/atom.


The following is a DFT calculation (GGA-PBEsol) of Ca2PCl after structural relaxation.

```
Ca2PCl
1.0
3.5762 -3.5758 0.0000
3.5762 3.5758 0.0000
-0.7728 0.0000 3.4847
Ca P Cl
2 1 1
Direct
0.0000 0.5000 0.0000 Ca
0.5000 0.0000 0.0000 Ca
0.0000 0.0000 0.5000 P
0.5000 0.5000 0.5000 Cl
```

Summary:
The uncorrected formation energy is -1368 meV per atom.


The following is a DFT calculation (GGA-PBEsol) of Y2As after structural relaxation.

```
Y2As
1.0
-1.9588 2.9643 6.4095
1.9588 -2.9643 6.4095
1.9588 2.9643 -6.4095
Y As
4 2
Direct
0.1988 0.1988 0.0000 Y
0.2625 0.5000 0.7625 Y
0.7375 0.5000 0.2375 Y
0.8012 0.8012 0.0000 Y
0.3585 0.8585 0.5000 As
0.6415 0.1415 0.5000 As
```

Summary:
The value obtained for the formation energy is -0.988 eV/atom.


The following is a DFT calculation (GGA-PBEsol) of Be2SiSb after structural relaxation.

```
Be2SiSb
1.0
0.0000 3.1332 3.1332
3.1332 0.0000 3.1332
3.1332 3.1332 0.0000
Be Si Sb
2 1 1
Direct
0.0000 0.0000 0.0000 Be
0.2500 0.2500 0.2500 Be
0.5000 0.5000 0.5000 Si
0.7500 0.7500 0.7500 Sb
```

Summary:
The value obtained for the energy above the most stable polymorph in this dataset is 0.3458 eV per atom. The uncorrected formation energy is 814 meV per atom.


The following is a DFT calculation (GGA-PBEsol) of MnRu2Pb after structural relaxation.

```
MnRu2Pb
1.0
2.9088 0.0000 0.0000
0.0000 3.8303 0.0000
0.0000 0.0000 5.5915
Mn Ru Pb
1 2 1
Direct
0.0000 0.0000 0.0000 Mn
0.0000 0.0000 0.5702 Ru
0.5000 0.5000 0.7928 Ru
0.5000 0.5000 0.2909 Pb
```

Summary:
The value obtained for the formation energy is 0.488 eV/atom.


The following is a DFT calculation (GGA-PBEsol) of Ti3SnO after structural relaxation.

```
Ti3SnO
1.0
4.1598 0.0000 0.0000
0.0000 4.1598 0.0000
0.0000 0.0000 4.1598
Ti Sn O
3 1 1
Direct
0.0000 0.0000 0.5000 Ti
0.0000 0.5000 0.0000 Ti
0.5000 0.0000 0.0000 Ti
0.5000 0.5000 0.5000 Sn
0.0000 0.0000 0.0000 O
```

Summary:
The uncorrected formation energy is -1247 meV per atom.


The following is a DFT calculation (GGA-PBEsol) of Si3BiSb after structural relaxation.

```
Si3BiSb
1.0
5.1004 0.0000 0.0000
0.0000 5.1004 0.0000
0.0000 0.0000 5.1004
Si Bi Sb
3 1 1
Direct
0.0000 0.0000 0.5000 Si
0.0000 0.5000 0.0000 Si
0.5000 0.0000 0.0000 Si
0.5000 0.5000 0.5000 Bi
0.0000 0.0000 0.0000 Sb
```

Summary:
The uncorrected formation energy is 1131 meV per atom.


The following is a DFT calculation (GGA-PBEsol) of Cu2TeW after structural relaxation.

```
Cu2TeW
1.0
-1.5652 2.1865 4.4982
1.5652 -2.1865 4.4982
1.5652 2.1865 -4.4982
Cu Te W
2 1 1
Direct
0.2481 0.2481 0.0000 Cu
0.7519 0.7519 0.0000 Cu
0.0000 0.5000 0.5000 Te
0.5000 0.0000 0.5000 W
```

Summary:
The uncorrected formation energy is 641 meV per atom.


It is found that the DOS at the Fermi energy values, taken in the order of the records, are 0.2713; 0.9704; 1.0347; 0.2913; 0.7077; 0.9361; 0.7858; 0.3581; 0.5557; 0.6641; 0.7829; 0.8364; 0.3062; 0.8370; 0.7210; 1.5933; 0.4894; 0.6306; 0.0000; 0.5506; 0.4413; 0.9592; 0.1401; 0.7985; 0.3953; 0.9577; 1.3004; 0.6517; 0.5414 states/eV/atom.